Crystalline Pm4Cd2Ag3 at its relaxed geometry. Source: Alexandria, functional PBE-GGA.

* formation enthalpy at 0 K: -0.2388 eV/atom
* energy: -31.5 eV/cell
* space-group type: C2/m, No. 12
* size of the total moment: 0.000 μB/atom
* crystal system: monoclinic

abc: 5.066 5.700 9.261
angles: 77.89 90.00 63.62
Atoms (fractional coordinates):
Pm 0.642 0.716 0.901
Pm 0.062 0.876 0.346
Pm 0.938 0.124 0.654
Pm 0.358 0.284 0.099
Cd 0.267 0.465 0.728
Cd 0.733 0.535 0.272
Ag 0.365 0.270 0.436
Ag 0.000 0.000 0.000
Ag 0.635 0.730 0.564